The following is a PBE calculation of a relaxed structure of H2PtPb, from Alexandria.

Calculated values
Excess energy over the best structure of this formula in the dataset: 31.2 meV per atom
E_tot: -4.03 eV/atom
Crystal system: trigonal
N(E_F): 2.5 states/eV/cell

Lattice parameters (Å, degrees): 6.342 6.342 5.045 90.00 90.00 120.00
Positions (direct):
H1 0.200 0.502 0.072
Pb1 0.730 0.000 0.000
Pt1 0.486 0.486 0.167
Pb2 0.270 0.270 0.667
Pt2 0.000 0.514 0.833
Pb3 0.000 0.730 0.333
H2 0.800 0.302 0.595
H3 0.302 0.800 0.738
H4 0.698 0.498 0.928
H5 0.498 0.698 0.405
Pt3 0.514 0.000 0.500
H6 0.502 0.200 0.262

=====

The following is a PBE calculation of a relaxed structure of Li2Al2Ni7, from Alexandria.

Calculated values
Formation energy: -122 kJ/mol of formula units
E_tot: -4.82 eV/atom
Crystal system: monoclinic
N(E_F): 12.6 states/eV/cell

Lattice parameters (Å, degrees): 5.738 4.426 5.738 72.87 88.15 107.13
Positions (direct):
Li1 0.751 0.440 0.249
Ni1 0.073 0.835 0.410
Ni2 0.000 0.000 0.000
Ni3 0.387 0.164 0.613
Ni4 0.613 0.836 0.387
Ni5 0.927 0.165 0.590
Al1 0.243 0.500 0.243
Ni6 0.410 0.165 0.073
Li2 0.249 0.560 0.751
Al2 0.757 0.500 0.757
Ni7 0.590 0.835 0.927

=====

The following is a PBE calculation of a relaxed structure of Li2Al2AgAu2, from Alexandria.

Calculated values
Formation energy: -276 kJ/mol of formula units
E_tot: -3.37 eV/atom
Crystal system: monoclinic
N(E_F): 2.7 states/eV/cell

Lattice parameters (Å, degrees): 4.466 4.451 7.389 107.20 90.00 120.11
Positions (direct):
Li1 0.134 0.268 0.405
Li2 0.866 0.732 0.595
Al1 0.600 0.201 0.799
Au1 0.262 0.525 0.788
Al2 0.400 0.799 0.201
Au2 0.738 0.475 0.212
Ag1 0.000 0.000 0.000

=====

The following is a PBE calculation of a relaxed structure of YRe, from Alexandria.

Calculated values
Formation energy: 469 kJ/mol of formula units
E_tot: -7.03 eV/atom
Crystal system: cubic
N(E_F): 2.6 states/eV/cell

Lattice parameters (Å, degrees): 4.488 4.488 4.488 60.00 60.00 60.00
Each line ends with the local moment (μB).
Positions (direct):
Y1 0.250 0.250 0.250  0.10
Re1 0.000 0.000 0.000  1.81

=====

The following is a PBE calculation of a relaxed structure of Rb2CoCl4, from Alexandria.

Calculated values
Energy relative to the elements, uncorrected: -1404 meV/atom
E_tot: -3.75 eV/atom
Crystal system: monoclinic

Lattice parameters (Å, degrees): 7.217 7.283 9.321 90.00 108.69 90.00
Each line ends with the local moment (μB).
Positions (direct):
Rb1 0.791 0.750 0.576  0.00
Cl1 0.084 0.750 0.353  0.08
Cl2 0.489 0.994 0.267  0.09
Cl3 0.511 0.494 0.733  0.09
Rb2 0.707 0.750 0.043  0.00
Cl4 0.916 0.250 0.647  0.08
Rb3 0.293 0.250 0.957  0.00
Co1 0.284 0.750 0.210  2.42
Cl5 0.872 0.250 0.044  0.08
Co2 0.716 0.250 0.790  2.42
Cl6 0.489 0.506 0.267  0.09
Rb4 0.209 0.250 0.424  0.00
Cl7 0.128 0.750 0.956  0.08
Cl8 0.511 0.006 0.733  0.09

=====

The following is a PBE calculation of a relaxed structure of CePr2ErTm, from Alexandria.

Calculated values
Formation energy: 134 kJ/mol of formula units
E_tot: -4.63 eV/atom
Crystal system: triclinic
N(E_F): 21.8 states/eV/cell

Lattice parameters (Å, degrees): 8.152 6.786 6.073 89.72 90.02 89.92
Each line ends with the local moment (μB).
Positions (direct):
Pr1 0.689 0.267 0.748  0.01
Er1 0.356 0.000 0.750  0.01
Ce1 0.000 0.000 0.000  0.42
Pr2 0.310 0.267 0.248  0.01
Pr3 0.690 0.733 0.752  0.01
Er2 0.644 0.000 0.250  0.01
Pr4 0.311 0.733 0.252  0.01
Tm1 0.878 0.500 0.250  0.00
Tm2 0.122 0.500 0.750  0.00
Ce2 0.000 0.000 0.500  0.42

=====

The following is a PBE calculation of a relaxed structure of Ho3Tm3PuSe8, from Alexandria.

Calculated values
Energy relative to the elements, uncorrected: -1743 meV/atom
E_tot: -6.37 eV/atom
Crystal system: trigonal
N(E_F): 16.0 states/eV/cell

Lattice parameters (Å, degrees): 8.062 8.063 8.067 119.98 90.00 120.00
Each line ends with the local moment (μB).
Positions (direct):
Tm1 0.500 0.500 0.500  0.07
Se1 0.740 0.998 0.756  -0.02
Se2 0.260 0.002 0.244  -0.02
Tm2 0.500 0.000 0.500  0.07
Se3 0.749 0.498 0.746  0.00
Se4 0.258 0.998 0.756  -0.02
Ho1 0.500 0.500 0.000  0.07
Pu1 0.000 0.000 0.500  5.42
Tm3 0.000 0.500 0.500  0.07
Se5 0.251 0.502 0.254  0.00
Ho2 0.000 0.000 0.000  0.07
Se6 0.742 0.002 0.244  -0.02
Ho3 0.000 0.500 0.000  0.07
Se7 0.742 0.484 0.244  -0.02
Se8 0.258 0.516 0.756  -0.02

=====

The following is a PBE calculation of a relaxed structure of KLi2Ir, from Alexandria.

Calculated values
Excess energy over the best structure of this formula in the dataset: 81.7 meV per atom
Formation energy: 116 kJ/mol of formula units
E_tot: -3.15 eV/atom
Crystal system: tetragonal
N(E_F): 2.8 states/eV/cell

Lattice parameters (Å, degrees): 3.309 3.309 7.333 90.00 90.00 90.00
Positions (direct):
Ir1 0.500 0.500 0.250
Li1 0.000 0.000 0.096
Li2 0.000 0.000 0.404
K1 0.500 0.500 0.750

=====

The following is a PBE calculation of a relaxed structure of YGa2Pb2, from Alexandria.

Calculated values
Excess energy over the best structure of this formula in the dataset: 130.3 meV per atom
Formation energy: -23 kJ/mol of formula units
E_tot: -4.03 eV/atom
Crystal system: tetragonal
N(E_F): 2.8 states/eV/cell

Lattice parameters (Å, degrees): 4.497 4.497 7.442 72.42 72.42 90.00
Positions (direct):
Pb1 0.250 0.750 0.500
Ga1 0.590 0.590 0.821
Pb2 0.750 0.250 0.500
Ga2 0.410 0.410 0.179
Y1 0.000 0.000 0.000

=====

The following is a PBE calculation of a relaxed structure of Cs2NaCd3Hg4, from Alexandria.

Calculated values
Formation energy: -148 kJ/mol of formula units
E_tot: -0.85 eV/atom
Crystal system: tetragonal
N(E_F): 4.8 states/eV/cell

Lattice parameters (Å, degrees): 5.312 5.312 12.280 90.00 90.00 90.00
Positions (direct):
Cd1 0.000 0.500 0.119
Hg1 0.000 0.000 0.000
Hg2 0.500 0.500 0.000
Cd2 0.500 0.000 0.881
Cs1 0.500 0.000 0.239
Hg3 0.000 0.500 0.365
Hg4 0.500 0.000 0.635
Cd3 0.000 0.000 0.500
Cs2 0.000 0.500 0.761
Na1 0.500 0.500 0.500

=====

The following is a PBE calculation of a relaxed structure of TbYOs, from Alexandria.

Calculated values
Excess energy over the best structure of this formula in the dataset: 0.0 meV per atom
Formation energy: -60 kJ/mol of formula units
E_tot: -7.65 eV/atom
Crystal system: tetragonal
N(E_F): 1.4 states/eV/cell

Lattice parameters (Å, degrees): 3.407 3.407 7.049 103.98 103.98 90.00
Positions (direct):
Os1 0.666 0.666 0.333
Y1 0.292 0.292 0.584
Tb1 0.041 0.041 0.083

=====

The following is a PBE calculation of a relaxed structure of CdCu2Au4, from Alexandria.

Calculated values
Excess energy over the best structure of this formula in the dataset: 37.0 meV per atom
Formation energy: 9 kJ/mol of formula units
E_tot: -3.16 eV/atom
Crystal system: orthorhombic
N(E_F): 3.7 states/eV/cell

Lattice parameters (Å, degrees): 8.946 5.539 5.700 119.07 90.00 90.00
Positions (direct):
Au1 0.750 0.500 0.500
Cu1 0.500 0.222 0.444
Cu2 0.000 0.278 0.556
Au2 0.250 0.000 0.500
Cu3 0.500 0.778 0.556
Au3 0.334 0.000 0.000
Cu4 0.000 0.722 0.444
Au4 0.750 0.000 0.500
Cd1 0.000 0.000 0.000
Au5 0.834 0.500 0.000
Au6 0.250 0.500 0.500
Au7 0.666 0.000 0.000
Cd2 0.500 0.500 0.000
Au8 0.166 0.500 0.000

=====

The following is a PBE calculation of a relaxed structure of Pm6Tl2In, from Alexandria.

Calculated values
Formation energy: -61 kJ/mol of formula units
E_tot: -4.07 eV/atom
Crystal system: monoclinic
N(E_F): 15.6 states/eV/cell

Lattice parameters (Å, degrees): 5.297 7.530 9.183 114.20 106.53 90.00
Each line ends with the local moment (μB).
Positions (direct):
Pm1 0.834 0.083 0.668  0.08
Tl1 0.666 0.667 0.333  0.00
Pm2 0.834 0.585 0.668  0.08
Pm3 0.500 0.751 0.000  0.08
Tl2 0.334 0.333 0.667  0.00
In1 0.000 0.000 0.000  -0.01
Pm4 0.500 0.249 0.000  0.08
Pm5 0.166 0.415 0.332  0.08
Pm6 0.166 0.917 0.332  0.08

=====

The following is a PBE calculation of a relaxed structure of KPt3Se, from Alexandria.

Calculated values
Excess energy over the best structure of this formula in the dataset: 0.0 meV per atom
Energy relative to the elements, uncorrected: 239 meV/atom
E_tot: -4.30 eV/atom
Crystal system: cubic
N(E_F): 4.5 states/eV/cell

Lattice parameters (Å, degrees): 4.832 4.832 4.832 90.00 90.00 90.00
Positions (direct):
Pt1 0.000 0.000 0.500
Pt2 0.000 0.500 0.000
Pt3 0.500 0.000 0.000
Se1 0.000 0.000 0.000
K1 0.500 0.500 0.500

=====

The following is a PBE calculation of a relaxed structure of SiAsOs2, from Alexandria.

Calculated values
Excess energy over the best structure of this formula in the dataset: 171.4 meV per atom
Energy relative to the elements, uncorrected: 210 meV/atom
E_tot: -7.92 eV/atom
Crystal system: tetragonal
N(E_F): 1.8 states/eV/cell

Lattice parameters (Å, degrees): 2.854 2.854 7.644 90.00 90.00 90.00
Positions (direct):
Si1 0.000 0.000 0.454
As1 0.500 0.500 0.788
Os1 0.500 0.500 0.252
Os2 0.000 0.000 0.007

=====

The following is a PBE calculation of a relaxed structure of LaTbTmTe3, from Alexandria.

Calculated values
Energy relative to the elements, uncorrected: -1270 meV/atom
E_tot: -5.18 eV/atom
Crystal system: monoclinic
N(E_F): 9.1 states/eV/cell

Lattice parameters (Å, degrees): 4.341 8.614 10.778 105.98 90.00 90.00
Positions (direct):
Te1 0.750 0.486 0.207
Te2 0.750 0.220 0.455
Te3 0.250 0.089 0.891
Tm1 0.750 0.846 0.377
La1 0.750 0.811 0.783
Tb1 0.250 0.663 0.092
Tm2 0.250 0.154 0.623
La2 0.250 0.189 0.217
Te4 0.250 0.780 0.545
Te5 0.250 0.514 0.793
Tb2 0.750 0.337 0.908
Te6 0.750 0.911 0.109

=====

The following is a PBE calculation of a relaxed structure of Pm3Sm4Sc, from Alexandria.

Calculated values
Excess energy over the best structure of this formula in the dataset: 37.9 meV per atom
Formation energy: 62 kJ/mol of formula units
E_tot: -4.85 eV/atom
Crystal system: tetragonal
N(E_F): 26.0 states/eV/cell

Lattice parameters (Å, degrees): 8.762 8.762 9.170 118.54 118.54 90.00
Positions (direct):
Sm1 0.686 0.490 0.676
Sm2 0.510 0.010 0.324
Sm3 0.990 0.186 0.676
Sm4 0.010 0.814 0.324
Pm1 0.750 0.750 0.500
Sm5 0.186 0.686 0.676
Pm2 0.351 0.149 0.000
Sm6 0.314 0.510 0.324
Pm3 0.851 0.351 0.000
Sm7 0.490 0.990 0.676
Sc1 0.000 0.000 0.000
Pm4 0.149 0.649 0.000
Sc2 0.500 0.500 0.000
Sm8 0.814 0.314 0.324
Pm5 0.649 0.851 0.000
Pm6 0.250 0.250 0.500

=====

The following is a PBE calculation of a relaxed structure of CrSb2Te, from Alexandria.

Calculated values
Excess energy over the best structure of this formula in the dataset: 318.5 meV per atom
Energy relative to the elements, uncorrected: 414 meV/atom
E_tot: -4.84 eV/atom
Crystal system: orthorhombic
N(E_F): 2.0 states/eV/cell

Lattice parameters (Å, degrees): 5.261 5.261 3.718 90.00 90.00 102.95
Each line ends with the local moment (μB).
Positions (direct):
Sb1 0.000 0.000 0.000  -0.08
Te1 0.500 0.000 0.500  0.00
Cr1 0.000 0.500 0.500  3.77
Sb2 0.500 0.500 0.000  -0.08

=====

The following is a PBE calculation of a relaxed structure of BaSr2Cu, from Alexandria.

Calculated values
Excess energy over the best structure of this formula in the dataset: 53.5 meV per atom
Formation energy: 20 kJ/mol of formula units
E_tot: -2.29 eV/atom
Crystal system: orthorhombic
N(E_F): 4.4 states/eV/cell

Lattice parameters (Å, degrees): 7.599 7.599 6.391 65.13 65.13 30.84
Positions (direct):
Sr1 0.066 0.066 0.934
Ba1 0.250 0.250 0.250
Cu1 0.750 0.750 0.750
Sr2 0.434 0.434 0.566

=====

The following is a PBE calculation of a relaxed structure of AgTe6Au3, from Alexandria.

Calculated values
Energy relative to the elements, uncorrected: 59 meV/atom
E_tot: -3.09 eV/atom
Crystal system: orthorhombic
N(E_F): 5.1 states/eV/cell

Lattice parameters (Å, degrees): 4.395 8.420 8.420 104.11 90.00 90.00
Positions (direct):
Ag1 0.000 0.500 0.500
Te1 0.000 0.330 0.097
Au1 0.000 0.000 0.000
Te2 0.500 0.349 0.651
Te3 0.000 0.670 0.903
Te4 0.500 0.651 0.349
Te5 0.000 0.097 0.330
Au2 0.500 0.000 0.500
Te6 0.000 0.903 0.670
Au3 0.500 0.500 0.000

=====

The following is a PBE calculation of a relaxed structure of La6Ru2RhAu, from Alexandria.

Calculated values
Formation energy: -422 kJ/mol of formula units
E_tot: -6.31 eV/atom
Crystal system: triclinic
N(E_F): 5.8 states/eV/cell

Lattice parameters (Å, degrees): 7.280 7.275 7.856 62.39 62.35 59.87
Positions (direct):
Au1 0.833 0.834 0.500
Rh1 0.334 0.334 0.997
La1 0.909 0.577 0.243
La2 0.271 0.910 0.243
La3 0.390 0.752 0.758
Ru1 0.996 0.995 0.014
Ru2 0.499 0.499 0.503
La4 0.754 0.099 0.758
La5 0.576 0.272 0.242
La6 0.100 0.390 0.758

=====

The following is a PBE calculation of a relaxed structure of PuBePPt, from Alexandria.

Calculated values
Formation energy: -344 kJ/mol of formula units
E_tot: -8.27 eV/atom
Crystal system: tetragonal
N(E_F): 16.4 states/eV/cell

Lattice parameters (Å, degrees): 3.984 3.984 8.688 90.00 90.00 90.00
Each line ends with the local moment (μB).
Positions (direct):
P1 0.500 0.000 0.870  -0.14
P2 0.000 0.500 0.130  -0.14
Be1 0.000 0.500 0.370  0.00
Pu1 0.500 0.000 0.187  5.01
Pt1 0.000 0.000 0.500  0.00
Pt2 0.500 0.500 0.500  0.00
Be2 0.500 0.000 0.630  0.00
Pu2 0.000 0.500 0.813  5.01

=====

The following is a PBE calculation of a relaxed structure of CsRb2TaS4, from Alexandria.

Calculated values
Energy relative to the elements, uncorrected: -1181 meV/atom
E_tot: -5.07 eV/atom
Crystal system: triclinic
N(E_F): 0.0 states/eV/cell

Lattice parameters (Å, degrees): 9.533 9.441 8.011 114.46 115.54 88.37
Positions (direct):
Rb1 0.495 0.995 0.995
Rb2 0.543 0.514 0.086
S1 0.802 0.816 0.552
Rb3 0.506 0.006 0.506
S2 0.656 0.342 0.462
Cs1 0.981 0.481 0.981
S3 0.263 0.252 0.039
S4 0.752 0.763 0.975
S5 0.361 0.644 0.463
Rb4 0.015 0.042 0.470
Cs2 0.034 0.534 0.534
S6 0.143 0.862 0.042
Ta1 0.403 0.389 0.391
S7 0.316 0.301 0.565
Ta2 0.888 0.904 0.901
S8 0.841 0.157 0.036